Record 1
# KGePbO4, optimized geometry, DFT PBE
data_KGePbO4
_cell_length_a 5.997
_cell_length_b 6.048
_cell_length_c 7.360
_cell_angle_alpha 90.00
_cell_angle_beta 107.91
_cell_angle_gamma 90.00
_symmetry_space_group_name_H-M 'P 1 21/m 1'
_symmetry_Int_Tables_number 11
loop_
_symmetry_equiv_pos_as_xyz
'x,y,z'
'-x,-y,-z'
'-x,y+1/2,-z'
'x,-y+1/2,z'
loop_
_atom_site_label
_atom_site_fract_x
_atom_site_fract_y
_atom_site_fract_z
K1 0.192 0.250 0.439
Ge1 0.238 0.750 0.163
Pb1 0.291 0.250 0.967
O1 0.037 0.750 0.929
O2 0.056 0.750 0.312
O3 0.443 0.524 0.194
# **Energy relative to the elements, uncorrected**: -1.398 eV per atom
# **Spin magnetization**: 0.000 μB/atom
# **Volume**: 18.15 A^3/atom



Record 2
# MgBeSeBr2, optimized geometry, DFT PBE
data_MgBeSeBr2
_cell_length_a 5.033
_cell_length_b 5.033
_cell_length_c 5.416
_cell_angle_alpha 90.00
_cell_angle_beta 90.00
_cell_angle_gamma 90.00
_symmetry_space_group_name_H-M 'P 4/m m m'
_symmetry_Int_Tables_number 123
_symmetry_space_group_name_Hall '-P 4 2'
loop_
_atom_site_label
_atom_site_fract_x
_atom_site_fract_y
_atom_site_fract_z
Mg1 0.000 0.000 0.000
Be1 0.500 0.500 0.500
Se1 0.000 0.000 0.500
Br1 0.000 0.500 0.000
# **Excess energy over the best structure of this formula in the dataset**: 451 meV/atom
# **Energy relative to the elements, uncorrected**: 0.109 eV per atom
# **Spin magnetization**: 0.000 μB/atom
# **Volume**: 27.43 A^3/atom



Record 3
# Hg2O, optimized geometry, DFT PBE
data_Hg2O
_cell_length_a 14.736
_cell_length_b 3.836
_cell_length_c 4.453
_cell_angle_alpha 90.00
_cell_angle_beta 90.07
_cell_angle_gamma 90.00
_symmetry_space_group_name_H-M 'C 1 2/m 1'
_symmetry_Int_Tables_number 12
loop_
_symmetry_equiv_pos_as_xyz
'x,y,z'
'-x,-y,-z'
'-x,y,-z'
'x,-y,z'
'x+1/2,y+1/2,z'
'-x+1/2,-y+1/2,-z'
'-x+1/2,y+1/2,-z'
'x+1/2,-y+1/2,z'
loop_
_atom_site_label
_atom_site_fract_x
_atom_site_fract_y
_atom_site_fract_z
Hg1 0.061 0.000 0.250
Hg2 0.185 0.500 0.750
O1 0.187 0.500 0.250
# **Energy relative to the elements, uncorrected**: -0.012 eV per atom
# **Spin magnetization**: 0.000 μB/atom
# **Volume**: 20.97 A^3/atom



Record 4
# Ac3Be2SbPd9, optimized geometry, DFT PBE
data_Ac3Be2SbPd9
_cell_length_a 6.1308
_cell_length_b 6.1308
_cell_length_c 9.3602
_cell_angle_alpha 90.00
_cell_angle_beta 90.00
_cell_angle_gamma 120.00
_symmetry_space_group_name_H-M 'P -3 m 1'
_symmetry_Int_Tables_number 164
_symmetry_space_group_name_Hall '-P 3 2"'
loop_
_atom_site_label
_atom_site_fract_x
_atom_site_fract_y
_atom_site_fract_z
Ac1 0.0000 0.0000 0.0000
Ac2 0.3333 0.6667 0.6566
Be1 0.3333 0.6667 0.1424
Sb1 0.0000 0.0000 0.5000
Pd1 0.0000 0.5000 0.0000
Pd2 0.1675 0.3351 0.2831
# **Energy relative to the elements, uncorrected**: -0.696 eV per atom
# **Spin magnetization**: 0.000 μB/atom
# **Volume**: 20.31 A^3/atom



Which formula does entry 2 have?
MgBeSeBr2



Which value of spin magnetization does entry 3 give?
0.000 μB/atom